The following is a PBE-GGA calculation of a relaxed structure of Nd6HgRu2, from Alexandria.

DOS at the Fermi energy = 15.405 states/eV/cell
energy of formation from the pure elements = -0.207 eV per atom

The structure in CIF format:
```
data_Nd6HgRu2
_cell_length_a 10.251
_cell_length_b 5.311
_cell_length_c 9.283
_cell_angle_alpha 90.00
_cell_angle_beta 100.70
_cell_angle_gamma 90.00
_space_group_name_H-M_alt 'C 1 2/m 1'
_space_group_IT_number 12
loop_
_space_group_symop_operation_xyz
'x,y,z'
'-x,-y,-z'
'-x,y,-z'
'x,-y,z'
'x+1/2,y+1/2,z'
'-x+1/2,-y+1/2,-z'
'-x+1/2,y+1/2,-z'
'x+1/2,-y+1/2,z'
loop_
_atom_site_label
_atom_site_type_symbol
_atom_site_fract_x
_atom_site_fract_y
_atom_site_fract_z
Nd1 Nd 0.040 0.000 0.344
Nd2 Nd 0.159 0.500 0.886
Nd3 Nd 0.209 0.500 0.338
Hg1 Hg 0.000 0.000 0.000
Ru1 Ru 0.113 0.500 0.599
```